This record from Alexandria via LeMat-Bulk describes an optimized crystal structure of Pr12SmDy6. The functional is GGA-PBE.

formation enthalpy at 0 K = 423 kJ/mol of formula units
uncorrected energy = -4.490 eV/atom
polymorph energy (0 for the lowest one) = 103.3 meV/atom
crystal system = trigonal

Structure (POSCAR):
```
Pr12SmDy6
1.0
8.921 0.117 -2.749
-3.755 8.093 -2.749
0.073 0.117 9.334
Dy Pr Sm
6 12 1
Direct
0.810 0.543 0.924
0.457 0.076 0.190
0.543 0.924 0.810
0.076 0.190 0.457
0.190 0.457 0.076
0.924 0.810 0.543
0.807 0.420 0.518
0.827 0.279 0.134
0.580 0.482 0.193
0.173 0.721 0.866
0.193 0.580 0.482
0.279 0.134 0.827
0.721 0.866 0.173
0.518 0.807 0.420
0.420 0.518 0.807
0.134 0.827 0.279
0.866 0.173 0.721
0.482 0.193 0.580
0.000 0.000 0.000
```

This record from Alexandria via LeMat-Bulk describes an optimized crystal structure of Cs2KHgF. The functional is GGA-PBE.

uncorrected energy = -2.097 eV/atom
polymorph energy (0 for the lowest one) = 0.0 meV/atom
crystal system = tetragonal

Structure (POSCAR):
```
Cs2KHgF
1.0
-2.349 4.773 -3.088
2.246 -2.290 -5.248
-4.701 -2.820 -0.782
Cs F Hg K
2 1 1 1
Direct
0.000 0.500 0.000
0.500 0.000 0.000
0.000 0.000 0.000
0.500 0.500 0.500
0.000 0.000 0.500
```

This record from Alexandria via LeMat-Bulk describes an optimized crystal structure of LaAs2Ir2. The functional is GGA-PBE.

formation enthalpy at 0 K = -386 kJ/mol of formula units
uncorrected energy = -7.190 eV/atom
crystal system = tetragonal

Structure (POSCAR):
```
LaAs2Ir2
1.0
-2.149 -1.618 3.384
-1.146 -3.430 -2.368
8.392 -4.875 2.997
Ir As La
4 4 2
Direct
0.500 0.000 0.120
0.000 0.000 0.500
0.000 0.500 0.880
0.500 0.500 0.500
0.500 0.000 0.362
0.000 0.000 0.000
0.500 0.500 0.000
0.000 0.500 0.638
0.500 0.000 0.753
0.000 0.500 0.247
```

This record from Alexandria via LeMat-Bulk describes an optimized crystal structure of HoHgC2O6. The functional is GGA-PBE.

uncorrected energy = -7.036 eV/atom
crystal system = monoclinic

Structure (POSCAR):
```
HoHgC2O6
1.0
-6.339 0.993 0.082
-0.343 -4.876 4.157
2.887 5.444 3.593
C Ho O Hg
4 2 12 2
Direct
0.864 0.602 0.755
0.136 0.398 0.245
0.398 0.136 0.745
0.602 0.864 0.255
0.591 0.409 0.250
0.409 0.591 0.750
0.401 0.938 0.742
0.701 0.470 0.605
0.267 0.199 0.602
0.299 0.530 0.395
0.801 0.733 0.898
0.470 0.701 0.105
0.733 0.801 0.398
0.530 0.299 0.895
0.062 0.599 0.758
0.938 0.401 0.242
0.199 0.267 0.102
0.599 0.062 0.258
0.103 0.897 0.250
0.897 0.103 0.750
```

Among the records above, which one has the lowest uncorrected energy?
LaAs2Ir2

The highest uncorrected energy belongs to which entry?
Cs2KHgF